NiAgOF2: optimized geometry, PBE with a Hubbard U.

Lattice parameters (Å, degrees): 4.193 4.193 4.139 90.00 90.00 90.00
Each line ends with the local moment (μB).
Positions (direct):
F1 0.500 0.000 0.000  0.01
F2 0.000 0.500 0.000  0.01
O1 0.000 0.000 0.500  0.05
Ni1 0.500 0.500 0.500  1.35
Ag1 0.000 0.000 0.000  0.02

Summary:
VASP energy = -0.1133 Ha/atom
Calculated density = 5.03 Mg/m³
Space group = P4/mmm